# 1
Computed, not measured: BaBrN after structural relaxation at the PBE-GGA level of DFT. Values from VASP.

Values from the calculation:
DFT total energy = -4.2658 eV per atom
crystal system = monoclinic
D(E_F) = 1.28 states/eV/f.u.
ρ = 3.476 Mg/m³
E_form (uncorrected) = -292.1 meV per atom

Geometry as Quantum ESPRESSO input:
```
&SYSTEM
  ibrav = 0, nat = 6, ntyp = 3
/
ATOMIC_SPECIES
Ba 137.33 Ba.upf
Br 79.90 Br.upf
N 14.01 N.upf
CELL_PARAMETERS angstrom
4.362 -5.038 0.000
4.362 5.038 0.000
-1.050 0.000 5.026
ATOMIC_POSITIONS angstrom
Ba 1.447 0.000 1.756
Ba 6.228 0.000 3.270
Br 3.837 2.170 2.513
Br 3.837 -2.170 2.513
N 0.112 0.000 4.105
N 7.563 0.000 0.922
```

***

# 2
Computed, not measured: TaCrCl after structural relaxation at the PBE-GGA level of DFT. Values from VASP.

Values from the calculation:
DFT total energy = -7.2491 eV per atom
crystal system = trigonal
D(E_F) = 2.39 states/eV/f.u.
ρ = 10.106 Mg/m³
E_form (uncorrected) = 525.1 meV per atom

Geometry as Quantum ESPRESSO input:
```
&SYSTEM
  ibrav = 0, nat = 3, ntyp = 3
/
ATOMIC_SPECIES
Ta 180.95 Ta.upf
Cr 52.00 Cr.upf
Cl 35.45 Cl.upf
CELL_PARAMETERS angstrom
4.179 0.000 0.000
-2.090 3.619 0.000
0.000 0.000 2.916
ATOMIC_POSITIONS angstrom
Ta 0.000 0.000 0.000
Cr 0.000 2.413 1.224
Cl 2.090 1.206 1.253
```

***

# 3
Computed, not measured: In2FeTc after structural relaxation at the PBE-GGA level of DFT. Values from VASP.

Values from the calculation:
DFT total energy = -5.7210 eV per atom
crystal system = tetragonal
energy of formation from the pure elements = 1.42 eV per formula unit
D(E_F) = 3.83 states/eV/f.u.
ρ = 9.385 Mg/m³

Geometry as Quantum ESPRESSO input:
```
&SYSTEM
  ibrav = 0, nat = 4, ntyp = 3
/
ATOMIC_SPECIES
In 114.82 In.upf
Fe 55.84 Fe.upf
Tc 98.00 Tc.upf
CELL_PARAMETERS angstrom
3.342 0.000 0.000
0.000 3.342 0.000
0.000 0.000 6.076
ATOMIC_POSITIONS angstrom
In 0.000 0.000 1.498
In 0.000 0.000 4.578
Fe 1.671 1.671 0.000
Tc 1.671 1.671 3.038
```

***

# 4
Computed, not measured: TaTl2Sb after structural relaxation at the PBE-GGA level of DFT. Values from VASP.

Values from the calculation:
DFT total energy = -4.8323 eV per atom
crystal system = orthorhombic
D(E_F) = 2.88 states/eV/f.u.
ρ = 10.674 Mg/m³
E_form (uncorrected) = 344.6 meV per atom

Geometry as Quantum ESPRESSO input:
```
&SYSTEM
  ibrav = 0, nat = 4, ntyp = 3
/
ATOMIC_SPECIES
Ta 180.95 Ta.upf
Tl 204.38 Tl.upf
Sb 121.76 Sb.upf
CELL_PARAMETERS angstrom
-1.542 2.371 7.572
1.542 -2.371 7.572
1.542 2.371 -7.572
ATOMIC_POSITIONS angstrom
Ta 0.000 0.000 0.000
Tl 1.542 0.000 2.792
Tl 0.000 2.371 4.780
Sb 0.000 0.000 7.572
```

***

- What is the formula in the fourth record?
  TaTl2Sb